# 1
LaSc2 | PBE | optimized geometry

Structure (extended XYZ):
```
6
Lattice="-2.082 2.082 10.589 2.082 -2.082 10.589 2.082 2.082 -10.589" Properties=species:S:1:pos:R:3 pbc="T T T"
La 2.082 1.041 2.647
La 0.000 1.041 7.942
Sc 2.082 -1.041 6.360
Sc 2.082 -1.041 9.524
Sc 0.000 3.123 1.065
Sc 0.000 3.123 4.230
```

Calculated values
polymorph energy (0 for the lowest one): 397 meV per atom
DFT formation energy: 458 meV per atom


# 2
Ti2Al3Ga | PBE | optimized geometry

Structure (extended XYZ):
```
12
Lattice="5.966 -1.925 0.000 5.966 1.925 0.000 -3.965 0.000 8.567" Properties=species:S:1:pos:R:3 pbc="T T T"
Ti -1.082 0.000 3.113
Ti 0.863 0.000 5.370
Ti 7.104 0.000 3.197
Ti 9.050 0.000 5.454
Al 0.997 0.000 1.130
Al -0.989 0.000 7.547
Al 5.011 0.000 1.099
Al 2.956 0.000 7.468
Al 8.956 0.000 1.020
Al 6.971 0.000 7.437
Ga 2.960 0.000 3.446
Ga 5.008 0.000 5.122
```

Calculated values
DFT formation energy: -255 meV per atom


# 3
La12AlTl3 | PBE | optimized geometry

Structure (extended XYZ):
```
16
Lattice="5.047 0.000 0.000 0.000 5.047 0.000 0.000 0.000 20.167" Properties=species:S:1:pos:R:3 pbc="T T T"
La 0.000 0.000 0.000
La 0.000 0.000 4.976
La 0.000 0.000 10.083
La 0.000 0.000 15.191
La 0.000 2.523 2.422
La 0.000 2.523 7.538
La 0.000 2.523 12.629
La 0.000 2.523 17.745
La 2.523 0.000 2.422
La 2.523 0.000 7.538
La 2.523 0.000 12.629
La 2.523 0.000 17.745
Al 2.523 2.523 0.000
Tl 2.523 2.523 5.002
Tl 2.523 2.523 10.083
Tl 2.523 2.523 15.165
```

Calculated values
DFT formation energy: -230 meV per atom


# 4
Sc3GaO | PBE | optimized geometry

Structure (extended XYZ):
```
20
Lattice="3.976 -7.779 0.000 3.976 7.779 0.000 0.000 0.000 6.060" Properties=species:S:1:pos:R:3 pbc="T T T"
Sc 3.976 6.897 4.778
Sc 1.988 1.600 4.545
Sc 3.976 4.153 0.203
Sc 3.976 3.626 3.233
Sc 1.988 -1.600 1.515
Sc 3.976 0.882 1.748
Sc 3.976 -0.882 4.312
Sc 5.964 1.600 4.545
Sc 3.976 -3.626 2.827
Sc 3.976 -4.153 5.857
Sc 5.964 -1.600 1.515
Sc 3.976 -6.897 1.282
Ga 1.988 2.794 1.515
Ga 1.988 -2.794 4.545
Ga 5.964 2.794 1.515
Ga 5.964 -2.794 4.545
O 3.976 6.480 0.832
O 3.976 1.299 3.862
O 3.976 -1.299 2.198
O 3.976 -6.480 5.228
```

Calculated values
E_form (uncorrected): -1.340 eV per atom